Record 1
Compound: BiAsIrSe2
Source: the Alexandria database
Functional: GGA-PBE
Structure: relaxed

The calculation puts the density of states at the Fermi level at 8.00 states/eV/cell. For the energy relative to the elements, uncorrected, the calculation gives 1.693 eV/atom. The space group is P4/mmm.

Geometry as POSCAR:
```
BiAsIrSe2
1.0
5.361 0.000 0.000
0.000 5.361 0.000
0.000 0.000 5.425
Bi As Ir Se
1 1 1 2
Direct
0.000 0.000 0.000
0.000 0.000 0.500
0.500 0.500 0.500
0.000 0.500 0.000
0.500 0.000 0.000
```

Record 2
Compound: BiAsIrSe2
Source: the Alexandria database
Functional: GGA-PBE
Structure: relaxed

The calculation puts the density of states at the Fermi level at 2.09 states/eV/cell. For the energy relative to the elements, uncorrected, the calculation gives 0.325 eV/atom. The space group is P4/mmm.

Geometry as POSCAR:
```
BiAsIrSe2
1.0
5.158 0.000 0.000
0.000 5.158 0.000
0.000 0.000 4.585
Bi As Ir Se
1 1 1 2
Direct
0.000 0.000 0.000
0.500 0.500 0.000
0.500 0.500 0.500
0.000 0.500 0.500
0.500 0.000 0.500
```

Record 3
Compound: SnBi2AsIr
Source: the Alexandria database
Functional: GGA-PBE
Structure: relaxed

The calculated formation energy comes out at 1.214 eV/atom. The calculation puts the density of states at the Fermi level at 4.17 states/eV/cell. The space group is P4/mmm.

Geometry as POSCAR:
```
SnBi2AsIr
1.0
5.711 0.000 0.000
0.000 5.711 0.000
0.000 0.000 4.910
Sn Bi As Ir
1 2 1 1
Direct
0.000 0.000 0.000
0.000 0.500 0.000
0.500 0.000 0.000
0.500 0.500 0.500
0.000 0.000 0.500
```